An optimized crystal structure of NaScCoS3, computed with PBE.

Cell lengths 3.681, 9.886, 12.531 Å; angles 90.00, 90.00, 90.00 degrees
Site moments in Bohr magnetons follow the coordinates.
Positions (direct):
Co 0.750 0.763 0.221  1.80
Co 0.750 0.263 0.279  1.81
Co 0.250 0.737 0.721  1.81
Co 0.250 0.237 0.779  1.80
Na 0.250 0.773 0.000  0.00
Na 0.250 0.273 0.500  0.00
Na 0.750 0.727 0.500  0.00
Na 0.750 0.227 0.000  0.00
S 0.750 0.583 0.113  0.10
S 0.750 0.949 0.121  0.10
S 0.250 0.261 0.177  0.13
S 0.250 0.761 0.323  0.13
S 0.750 0.449 0.379  0.10
S 0.750 0.083 0.387  0.10
S 0.250 0.917 0.613  0.10
S 0.250 0.551 0.621  0.10
S 0.750 0.239 0.677  0.13
S 0.750 0.739 0.823  0.13
S 0.250 0.051 0.879  0.10
S 0.250 0.417 0.887  0.10
Sc 0.250 0.514 0.244  0.03
Sc 0.250 0.014 0.256  0.03
Sc 0.750 0.986 0.744  0.03
Sc 0.750 0.486 0.756  0.03

VASP energy in eV/atom: -5.680
Crystal system: orthorhombic